1.
VASP calculation (PBE-GGA) on a geometry-optimized KBiS2Cl structure.

```
KBiS2Cl
1.0
-4.747 -2.272 0.207
2.281 -4.737 0.320
0.051 0.402 5.584
S Cl K Bi
2 1 1 1
Direct
0.000 0.500 0.000 S
0.500 0.000 0.000 S
0.000 0.000 0.500 Cl
0.500 0.500 0.500 K
0.000 0.000 0.000 Bi
```

Calculated values
Formation energy from raw total energies (eV per formula unit): -3.01
Space-group type: No. 123
ΔE to the lowest computed polymorph (eV/atom): 0.0000
Electronic total energy (eV/cell): -18.09
Spin magnetization (Bohr magnetons per cell): 0.00

2.
VASP calculation (PBE-GGA) on a geometry-optimized KBiS2Cl structure.

```
KBiS2Cl
1.0
-4.085 3.557 0.443
-1.374 -2.174 4.787
3.206 3.376 2.454
K Cl S Bi
1 1 2 1
Direct
0.000 0.000 0.000 K
0.000 0.000 0.500 Cl
0.500 0.000 0.000 S
0.000 0.500 0.000 S
0.500 0.500 0.500 Bi
```

Calculated values
Formation energy from raw total energies (eV per formula unit): 2.64
Space-group type: No. 123
ΔE to the lowest computed polymorph (eV/atom): 1.1309
Electronic total energy (eV/cell): -12.44
Spin magnetization (Bohr magnetons per cell): 1.02

3.
VASP calculation (PBE-GGA) on a geometry-optimized KBiSCl2 structure.

```
KBiSCl2
1.0
-5.044 1.522 -0.728
-1.101 -4.708 -2.217
-1.363 -2.080 5.094
Cl Bi K S
2 1 1 1
Direct
0.000 0.500 0.000 Cl
0.500 0.000 0.000 Cl
0.500 0.500 0.500 Bi
0.000 0.000 0.000 K
0.000 0.000 0.500 S
```

Calculated values
Formation energy from raw total energies (eV per formula unit): 0.38
Space-group type: No. 123
ΔE to the lowest computed polymorph (eV/atom): 1.0525
Electronic total energy (eV/cell): -12.42
Spin magnetization (Bohr magnetons per cell): 0.00

4.
VASP calculation (PBE-GGA) on a geometry-optimized K2SnBiCl8 structure.

```
K2SnBiCl8
1.0
-4.475 -2.262 -5.058
1.821 -6.303 1.778
-6.281 -0.220 5.654
Cl K Bi Sn
8 2 1 1
Direct
0.868 0.218 0.746 Cl
0.692 0.784 0.500 Cl
0.132 0.782 0.746 Cl
0.132 0.782 0.254 Cl
0.308 0.216 0.500 Cl
0.868 0.218 0.254 Cl
0.320 0.227 0.000 Cl
0.680 0.773 0.000 Cl
0.500 0.500 0.252 K
0.500 0.500 0.748 K
0.000 0.000 0.000 Bi
0.000 0.000 0.500 Sn
```

Calculated values
Formation energy from raw total energies (eV per formula unit): -15.07
Space-group type: No. 10
Electronic total energy (eV/cell): -39.92
Spin magnetization (Bohr magnetons per cell): 0.78

5.
VASP calculation (PBE-GGA) on a geometry-optimized KSn2BiCl8 structure.

```
KSn2BiCl8
1.0
-5.104 4.300 1.820
-3.703 -1.922 -5.084
-3.286 -6.555 5.090
K Cl Sn Bi
1 8 2 1
Direct
0.000 0.000 0.500 K
0.187 0.786 0.780 Cl
0.857 0.252 0.778 Cl
0.813 0.214 0.220 Cl
0.354 0.288 0.468 Cl
0.646 0.712 0.532 Cl
0.143 0.748 0.222 Cl
0.685 0.753 0.965 Cl
0.315 0.247 0.035 Cl
0.515 0.508 0.748 Sn
0.485 0.492 0.252 Sn
0.000 0.000 0.000 Bi
```

Calculated values
Formation energy from raw total energies (eV per formula unit): -13.96
Space-group type: No. 2
Electronic total energy (eV/cell): -41.72
Spin magnetization (Bohr magnetons per cell): 0.00

6.
VASP calculation (PBE-GGA) on a geometry-optimized KSrBiCl6 structure.

```
KSrBiCl6
1.0
7.412 0.000 0.000
-3.706 6.419 0.000
0.000 0.000 13.468
Sr Cl K Bi
2 12 2 2
Direct
0.333 0.667 0.250 Sr
0.667 0.333 0.750 Sr
0.629 0.982 0.865 Cl
0.646 0.018 0.365 Cl
0.982 0.354 0.135 Cl
0.354 0.982 0.635 Cl
0.018 0.646 0.865 Cl
0.371 0.354 0.365 Cl
0.982 0.629 0.365 Cl
0.629 0.646 0.635 Cl
0.018 0.371 0.635 Cl
0.646 0.629 0.135 Cl
0.371 0.018 0.135 Cl
0.354 0.371 0.865 Cl
0.000 0.000 0.000 K
0.000 0.000 0.500 K
0.333 0.667 0.750 Bi
0.667 0.333 0.250 Bi
```

Calculated values
Formation energy from raw total energies (eV per formula unit): -15.56
Space-group type: No. 163
Electronic total energy (eV/cell): -66.60
Spin magnetization (Bohr magnetons per cell): 0.00

7.
VASP calculation (PBE-GGA) on a geometry-optimized KTc2BiCl structure.

```
KTc2BiCl
1.0
-0.738 0.869 4.378
2.676 -4.480 1.340
3.857 2.358 0.182
Bi Tc Cl K
1 2 1 1
Direct
0.500 0.500 0.500 Bi
0.000 0.000 0.500 Tc
0.500 0.000 0.000 Tc
0.000 0.000 0.000 Cl
0.000 0.500 0.000 K
```

Calculated values
Formation energy from raw total energies (eV per formula unit): 4.80
Space-group type: No. 123
Electronic total energy (eV/cell): -22.76
Spin magnetization (Bohr magnetons per cell): 0.00

8.
VASP calculation (PBE-GGA) on a geometry-optimized KTl2BiCl6 structure.

```
KTl2BiCl6
1.0
-1.241 -5.672 5.344
1.685 -7.508 -1.747
6.287 -3.557 3.516
Cl K Tl Bi
6 1 2 1
Direct
0.984 0.571 0.253 Cl
0.661 0.121 0.779 Cl
0.570 0.192 0.254 Cl
0.121 0.440 0.779 Cl
0.440 0.660 0.778 Cl
0.191 0.984 0.253 Cl
0.813 0.813 0.560 K
0.027 0.027 0.920 Tl
0.533 0.532 0.403 Tl
0.321 0.321 0.037 Bi
```

Calculated values
Formation energy from raw total energies (eV per formula unit): -12.28
Space-group type: No. 146
Electronic total energy (eV/cell): -33.07
Spin magnetization (Bohr magnetons per cell): 0.00